[1]
LiCu2As: relaxed, PBE.

Summary:
Formation energy from the elements ... -183 meV per atom

Cell: 3.7868 3.7868 3.6790 Å, 90.00 90.00 90.00°
With the nearest neighbours (Å) after each atom.
Sites, in units of the cell vectors:
Li (0.0000, 0.0000, 0.0000)  8 Cu 2.64, 4 As 2.68
Cu (0.0000, 0.5000, 0.5000)  4 As 2.64, 4 Li 2.64, 4 Cu 2.68
Cu (0.5000, 0.0000, 0.5000)  4 As 2.64, 4 Li 2.64, 4 Cu 2.68
As (0.5000, 0.5000, 0.0000)  8 Cu 2.64, 4 Li 2.68

[2]
TbCrH: relaxed, PBE.

Summary:
Total DFT energy (no corrections) ... -5.8893 eV per atom

Cell: 3.1229 3.1229 8.5960 Å, 90.00 90.00 90.00°
With the nearest neighbours (Å) after each atom.
Sites, in units of the cell vectors:
Tb (0.2500, 0.2500, 0.1824)  5 H 2.32-2.35
Tb (0.7500, 0.7500, 0.8176)  5 H 2.32-2.35
Cr (0.2500, 0.2500, 0.5479)  4 Cr 2.36
Cr (0.7500, 0.7500, 0.4521)  4 Cr 2.36
H (0.2500, 0.2500, 0.9121)  5 Tb 2.32-2.35
H (0.7500, 0.7500, 0.0879)  5 Tb 2.32-2.35

[3]
TlHgB: relaxed, PBE.

Summary:
Formation energy from the elements ... 1046 meV per atom

Cell: 6.3654 3.5886 12.1547 Å, 90.00 90.00 90.00°
With the nearest neighbours (Å) after each atom.
Sites, in units of the cell vectors:
Tl (0.0204, 0.2500, 0.1307)  2 B 2.62
Tl (0.4796, 0.7500, 0.6307)  2 B 2.62
Tl (0.5204, 0.2500, 0.3693)  2 B 2.62
Tl (0.9796, 0.7500, 0.8693)  2 B 2.62
Hg (0.0204, 0.2500, 0.4055)  2 B 2.30
Hg (0.4796, 0.7500, 0.9055)  2 B 2.30
Hg (0.5204, 0.2500, 0.0945)  2 B 2.30
Hg (0.9796, 0.7500, 0.5945)  2 B 2.30
B (0.0361, 0.7500, 0.2874)  2 Hg 2.30
B (0.4639, 0.2500, 0.7874)  2 Hg 2.30
B (0.5361, 0.7500, 0.2126)  2 Hg 2.30
B (0.9639, 0.2500, 0.7126)  2 Hg 2.30

[4]
TiSCl2: relaxed, PBE.

Summary:
Relative energy among the computed polymorphs ... 446.6 meV/atom
Uncorrected formation energy ... -0.5889 eV per atom

Cell: 10.7071 10.7071 10.7071 Å, 16.74 16.74 16.74°
With the nearest neighbours (Å) after each atom.
Sites, in units of the cell vectors:
Ti (0.0000, 0.0000, 0.0000)  6 Cl 2.44
S (0.5000, 0.5000, 0.5000)  6 S 3.12
Cl (0.3854, 0.3854, 0.3854)  3 Ti 2.44
Cl (0.6146, 0.6146, 0.6146)  3 Ti 2.44

[5]
Rb2MgCoH6: relaxed, PBE.

Summary:
Total DFT energy (no corrections) ... -3.2895 eV per atom

Cell: 6.0304 6.0304 4.8172 Å, 90.00 90.00 120.00°
With the nearest neighbours (Å) after each atom.
Sites, in units of the cell vectors:
Rb (0.3333, 0.6667, 0.2112)  9 H 2.89-3.04
Rb (0.6667, 0.3333, 0.7888)  9 H 2.89-3.04
Mg (0.0000, 0.0000, 0.5000)  6 H 2.00
Co (0.0000, 0.0000, 0.0000)  6 H 1.63
H (0.1288, 0.2577, 0.8072)  1 Co 1.63
H (0.1288, 0.8712, 0.8072)  1 Co 1.63
H (0.2577, 0.1288, 0.1928)  1 Co 1.63
H (0.7423, 0.8712, 0.8072)  1 Co 1.63
H (0.8712, 0.1288, 0.1928)  1 Co 1.63
H (0.8712, 0.7423, 0.1928)  1 Co 1.63

[6]
CdTeRu: relaxed, PBE.

Summary:
Relative energy among the computed polymorphs ... 282.7 meV/atom
Uncorrected formation energy ... 0.3481 eV per atom

Cell: 4.4921 4.4921 3.6157 Å, 90.00 90.00 120.00°
With the nearest neighbours (Å) after each atom.
Sites, in units of the cell vectors:
Cd (0.0000, 0.0000, 0.0000)  6 Ru 3.16, 6 Te 3.16
Te (0.3333, 0.6667, 0.5000)  3 Ru 2.59
Ru (0.6667, 0.3333, 0.5000)  3 Te 2.59

[7]
Ba2ScRh: relaxed, PBE.

Summary:
Formation energy from the elements ... -106 meV per atom
Relative energy among the computed polymorphs ... 97.5 meV/atom

Cell: 8.4009 8.4009 4.4025 Å, 90.00 90.00 145.12°
With the nearest neighbours (Å) after each atom.
Sites, in units of the cell vectors:
Ba (0.1346, 0.8654, 0.0000)  2 Rh 3.08
Ba (0.8654, 0.1346, 0.0000)  2 Rh 3.08
Sc (0.5000, 0.5000, 0.5000)  2 Rh 2.52
Rh (0.0000, 0.0000, 0.5000)  2 Sc 2.52

[8]
CsGeSe2: relaxed, PBE.

Summary:
Uncorrected formation energy ... -0.4604 eV per atom

Cell: 8.6138 4.0314 17.1458 Å, 90.00 114.38 90.00°
With the nearest neighbours (Å) after each atom.
Sites, in units of the cell vectors:
Cs (0.2349, 0.9999, 0.4665)  8 Se 3.67-3.98, 1 Ge 3.92, 2 Cs 4.03
Cs (0.2349, 0.5001, 0.9665)  8 Se 3.67-3.98, 1 Ge 3.92, 2 Cs 4.03
Cs (0.7651, 0.0001, 0.5335)  8 Se 3.67-3.98, 1 Ge 3.92, 2 Cs 4.03
Cs (0.7651, 0.4999, 0.0335)  8 Se 3.67-3.98, 1 Ge 3.92, 2 Cs 4.03
Ge (0.1892, 0.0021, 0.7421)  3 Se 2.35-2.59
Ge (0.1892, 0.4979, 0.2421)  3 Se 2.35-2.59
Ge (0.8108, 0.5021, 0.7579)  3 Se 2.35-2.59
Ge (0.8108, 0.9979, 0.2579)  3 Se 2.35-2.59
Se (0.1986, 0.5018, 0.6492)  2 Ge 2.59
Se (0.1986, 0.9982, 0.1492)  2 Ge 2.59
Se (0.4564, 0.0015, 0.8591)  1 Ge 2.35
Se (0.4564, 0.4985, 0.3591)  1 Ge 2.35
Se (0.5436, 0.5015, 0.6409)  1 Ge 2.35
Se (0.5436, 0.9985, 0.1409)  1 Ge 2.35
Se (0.8014, 0.0018, 0.8508)  2 Ge 2.59
Se (0.8014, 0.4982, 0.3508)  2 Ge 2.59

[9]
Sc2AlO: relaxed, PBE.

Summary:
Relative energy among the computed polymorphs ... 153.0 meV/atom
Uncorrected formation energy ... -1.2484 eV per atom

Cell: 2.8528 2.8528 7.3131 Å, 90.00 90.00 90.00°
With the nearest neighbours (Å) after each atom.
Sites, in units of the cell vectors:
Sc (0.0000, 0.0000, 0.1955)  4 O 2.47
Sc (0.0000, 0.0000, 0.8045)  4 O 2.47
Al (0.5000, 0.5000, 0.5000)  4 Al 2.85, 8 Sc 3.00
O (0.5000, 0.5000, 0.0000)  8 Sc 2.47

[10]
Ca2AcAgN: relaxed, PBE.

Summary:
Uncorrected formation energy ... -0.5570 eV per atom

Cell: 7.4758 7.4758 7.4758 Å, 126.43 126.43 79.19°
With the nearest neighbours (Å) after each atom.
Sites, in units of the cell vectors:
Ca (0.2167, 0.7167, 0.9333)  2 N 2.43
Ca (0.2833, 0.2167, 0.5000)  2 N 2.43
Ca (0.7167, 0.7833, 0.5000)  2 N 2.43
Ca (0.7833, 0.2833, 0.0667)  2 N 2.43
Ac (0.2383, 0.2383, 0.0000)  1 N 2.40
Ac (0.7383, 0.7383, 0.0000)  1 N 2.40
Ag (0.2659, 0.7659, 0.5000)  4 Ac 3.38, 4 Ca 3.40-3.69
Ag (0.7659, 0.2659, 0.5000)  4 Ac 3.38, 4 Ca 3.40-3.69
N (0.0300, 0.0300, 0.0000)  1 Ac 2.40, 4 Ca 2.43
N (0.5300, 0.5300, 0.0000)  1 Ac 2.40, 4 Ca 2.43

[11]
Cs2BaNa2: relaxed, PBE.

Summary:
Formation energy from the elements ... 98 meV per atom
Relative energy among the computed polymorphs ... 0.0 meV/atom

Cell: 11.2413 11.2413 5.4812 Å, 90.00 90.00 90.00°
With the nearest neighbours (Å) after each atom.
Sites, in units of the cell vectors:
Cs (0.1672, 0.3328, 0.0000)  6 Na 4.24-4.33
Cs (0.3328, 0.8328, 0.0000)  6 Na 4.24-4.33
Cs (0.6672, 0.1672, 0.0000)  6 Na 4.24-4.33
Cs (0.8328, 0.6672, 0.0000)  6 Na 4.24-4.33
Ba (0.0000, 0.0000, 0.5000)  4 Na 4.41
Ba (0.5000, 0.5000, 0.5000)  4 Na 4.41
Na (0.1291, 0.6291, 0.5000)  1 Na 4.10, 6 Cs 4.24-4.33, 2 Ba 4.41
Na (0.3709, 0.1291, 0.5000)  1 Na 4.10, 6 Cs 4.24-4.33, 2 Ba 4.41
Na (0.6291, 0.8709, 0.5000)  1 Na 4.10, 6 Cs 4.24-4.33, 2 Ba 4.41
Na (0.8709, 0.3709, 0.5000)  1 Na 4.10, 6 Cs 4.24-4.33, 2 Ba 4.41

[12]
MgGaGePb: relaxed, PBE.

Summary:
Formation energy from the elements ... 107 meV per atom

Cell: 5.0476 5.0476 5.0476 Å, 60.00 60.00 60.00°
With the nearest neighbours (Å) after each atom.
Sites, in units of the cell vectors:
Mg (0.0000, 0.0000, 0.0000)  4 Ge 3.09, 4 Pb 3.09
Ga (0.5000, 0.5000, 0.5000)  4 Pb 3.09, 4 Ge 3.09
Ge (0.2500, 0.2500, 0.2500)  4 Ga 3.09, 4 Mg 3.09
Pb (0.7500, 0.7500, 0.7500)  4 Ga 3.09, 4 Mg 3.09

[13]
CuSiHg3: relaxed, PBE.

Summary:
Relative energy among the computed polymorphs ... 0.0 meV/atom
Uncorrected formation energy ... 0.6165 eV per atom

Cell: 5.1443 5.1443 5.1443 Å, 90.00 90.00 90.00°
With the nearest neighbours (Å) after each atom.
Sites, in units of the cell vectors:
Cu (0.0000, 0.0000, 0.0000)  12 Hg 3.64
Si (0.5000, 0.5000, 0.5000)  6 Hg 2.57
Hg (0.0000, 0.5000, 0.5000)  2 Si 2.57
Hg (0.5000, 0.0000, 0.5000)  2 Si 2.57
Hg (0.5000, 0.5000, 0.0000)  2 Si 2.57

[14]
NbV2SiH: relaxed, PBE.

Summary:
Total DFT energy (no corrections) ... -7.7129 eV per atom

Cell: 3.8375 3.8375 4.0752 Å, 90.00 90.00 90.00°
With the nearest neighbours (Å) after each atom.
Sites, in units of the cell vectors:
Nb (0.0000, 0.0000, 0.0000)  2 H 2.04
V (0.0000, 0.5000, 0.5000)  2 H 1.92
V (0.5000, 0.0000, 0.5000)  2 H 1.92
Si (0.5000, 0.5000, 0.0000)  4 Nb 2.71, 8 V 2.80
H (0.0000, 0.0000, 0.5000)  4 V 1.92, 2 Nb 2.04

[15]
YbIn2: relaxed, PBE.

Summary:
Formation energy from the elements ... -368 meV per atom

Cell: 4.7446 4.6851 7.5722 Å, 90.00 107.96 90.00°
With the nearest neighbours (Å) after each atom.
Sites, in units of the cell vectors:
Yb (0.1574, 0.0000, 0.3165)  10 In 3.27-3.43, 2 Yb 3.54-3.57
Yb (0.8426, 0.0000, 0.6835)  10 In 3.27-3.43, 2 Yb 3.54-3.57
In (0.0000, 0.5000, 0.0000)  4 Yb 3.27, 8 In 3.33-3.40
In (0.3319, 0.5000, 0.6647)  6 Yb 3.33-3.43, 6 In 3.35-3.40
In (0.5000, 0.0000, 0.0000)  4 Yb 3.28-3.30, 8 In 3.33-3.36
In (0.6681, 0.5000, 0.3353)  6 Yb 3.33-3.43, 6 In 3.35-3.40

[16]
PrGe3Ru: relaxed, PBE.

Summary:
Formation energy from the elements ... -465 meV per atom

Cell: 6.2169 5.7932 5.8188 Å, 90.00 90.00 90.00°
With the nearest neighbours (Å) after each atom.
Sites, in units of the cell vectors:
Pr (0.0000, 0.1440, 0.0000)  8 Ge 2.99-3.35, 1 Ru 3.15
Pr (0.5000, 0.8560, 0.5000)  8 Ge 2.99-3.35, 1 Ru 3.15
Ge (0.0000, 0.9272, 0.5330)  1 Ru 2.36
Ge (0.2299, 0.3339, 0.4747)  2 Ru 2.43-2.47
Ge (0.2701, 0.6661, 0.9747)  2 Ru 2.43-2.47
Ge (0.5000, 0.0728, 0.0330)  1 Ru 2.36
Ge (0.7299, 0.6661, 0.9747)  2 Ru 2.43-2.47
Ge (0.7701, 0.3339, 0.4747)  2 Ru 2.43-2.47
Ru (0.0000, 0.6151, 0.2713)  5 Ge 2.36-2.47
Ru (0.5000, 0.3849, 0.7713)  5 Ge 2.36-2.47

[17]
SnH2F: relaxed, PBE.

Summary:
Relative energy among the computed polymorphs ... 0.0 meV/atom

Cell: 6.8509 6.8509 6.8509 Å, 146.69 146.69 47.82°
With the nearest neighbours (Å) after each atom.
Sites, in units of the cell vectors:
Sn (0.0000, 0.0000, 0.0000)  4 H 1.91
Sn (0.7500, 0.2500, 0.5000)  4 H 1.91
H (0.3750, 0.2465, 0.3715)  2 Sn 1.91
H (0.7535, 0.1250, 0.1285)  2 Sn 1.91
H (0.8750, 0.0035, 0.6285)  2 Sn 1.91
H (0.9965, 0.6250, 0.8715)  2 Sn 1.91
F (0.2500, 0.7500, 0.5000)  4 H 2.37
F (0.5000, 0.5000, 0.0000)  4 H 2.37